1.
VASP calculation (PBE-GGA) on crystalline Pr3Dy4Er5 at its relaxed geometry.

Properties
ΔH_f (0 K)   0.020 eV/atom
Energy   -4.61 eV per atom

a b c (Å): 6.1792 7.1364 8.7421
angles (deg): 89.92 89.82 89.82
Element x y z (fractional)
Pr  0.0000  0.0000  0.0000
Pr  0.1666  0.2508  0.3343
Pr  0.8334  0.7492  0.6657
Dy  0.1694  0.7489  0.3328
Dy  0.3333  0.4997  0.6685
Dy  0.6667  0.5003  0.3315
Dy  0.8306  0.2511  0.6672
Er  0.0000  0.5000  0.0000
Er  0.3358  0.0003  0.6681
Er  0.4987  0.7487  0.0002
Er  0.5013  0.2513  0.9998
Er  0.6642  0.9997  0.3319

=====

2.
VASP calculation (PBE-GGA) on crystalline PrDy2Er at its relaxed geometry.

Properties
ΔH_f (0 K)   0.026 eV/atom
Energy   -4.61 eV per atom
Excess energy over the best structure of this formula in the dataset   0.006 eV/atom

a b c (Å): 3.5766 3.5766 10.1229
angles (deg): 90.00 90.00 90.00
Element x y z (fractional)
Pr  0.0000  0.0000  0.0000
Dy  0.5000  0.5000  0.2568
Dy  0.5000  0.5000  0.7432
Er  0.0000  0.0000  0.5000

=====

3.
VASP calculation (PBE-GGA) on crystalline Pr4DyEr5 at its relaxed geometry.

Properties
ΔH_f (0 K)   0.194 eV/atom
Energy   -4.46 eV per atom
Excess energy over the best structure of this formula in the dataset   0.000 eV/atom

a b c (Å): 3.5280 8.7413 11.3519
angles (deg): 90.08 90.00 101.55
Element x y z (fractional)
Pr  0.0333  0.0662  0.2494
Pr  0.3442  0.6804  0.2501
Pr  0.6558  0.3196  0.7499
Pr  0.9667  0.9338  0.7506
Dy  0.5000  0.0000  0.5000
Er  0.1717  0.3454  0.0463
Er  0.1721  0.3462  0.4524
Er  0.5000  0.0000  0.0000
Er  0.8279  0.6538  0.5476
Er  0.8283  0.6546  0.9537